No. 1
A geometry-optimized K2BC structure, computed with PBE-GGA.

Summary:
ΔH_f (0 K) (meV per atom): 2106
Density of states at the Fermi level (states/eV/atom): 0.85
ρ (g cm⁻³): 1.75

a = 5.142 Å, b = 5.142 Å, c = 5.142 Å
α = 60.00°, β = 60.00°, γ = 60.00°
Fractional positions:
K 0.250 0.250 0.250
K 0.750 0.750 0.750
B 0.000 0.000 0.000
C 0.500 0.500 0.500



No. 2
A geometry-optimized K4B2C structure, computed with PBE-GGA.

Summary:
ΔH_f (0 K) (meV per atom): 1230
Density of states at the Fermi level (states/eV/atom): 0.41
ρ (g cm⁻³): 1.24

a = 7.955 Å, b = 7.955 Å, c = 7.955 Å
α = 134.28°, β = 134.28°, γ = 66.65°
Fractional positions:
K 0.000 0.500 0.500
K 0.212 0.212 0.000
K 0.500 0.000 0.500
K 0.788 0.788 0.000
B 0.441 0.441 0.000
B 0.559 0.559 0.000
C 0.000 0.000 0.000



No. 3
A geometry-optimized KB2C structure, computed with PBE-GGA.

Summary:
ΔH_f (0 K) (meV per atom): 1138
Density of states at the Fermi level (states/eV/atom): 0.32
ρ (g cm⁻³): 2.65

a = 6.051 Å, b = 6.051 Å, c = 6.051 Å
α = 139.88°, β = 139.88°, γ = 58.03°
Fractional positions:
K 0.375 0.625 0.750
K 0.625 0.375 0.250
B 0.000 0.000 0.000
B 0.000 0.000 0.500
B 0.000 0.500 0.000
B 0.500 0.000 0.500
C 0.125 0.875 0.250
C 0.875 0.125 0.750



No. 4
A geometry-optimized K3BC structure, computed with PBE-GGA.

Summary:
ΔH_f (0 K) (meV per atom): 1733
Density of states at the Fermi level (states/eV/atom): 1.60
ρ (g cm⁻³): 1.30

a = 5.640 Å, b = 5.640 Å, c = 5.640 Å
α = 90.00°, β = 90.00°, γ = 90.00°
Fractional positions:
K 0.000 0.000 0.500
K 0.000 0.500 0.000
K 0.500 0.000 0.000
B 0.500 0.500 0.500
C 0.000 0.000 0.000



No. 5
A geometry-optimized K2BC3N3 structure, computed with PBE-GGA.

Summary:
Density of states at the Fermi level (states/eV/atom): 0.00
ρ (g cm⁻³): 1.65
Formation energy without anion corrections (eV per atom): -0.231

a = 8.157 Å, b = 7.095 Å, c = 8.688 Å
α = 61.26°, β = 49.70°, γ = 69.04°
Fractional positions:
K 0.208 0.792 0.383
K 0.633 0.867 0.458
K 0.792 0.208 0.617
K 0.867 0.633 0.042
B 0.211 0.211 0.789
B 0.461 0.461 0.039
C 0.085 0.173 0.025
C 0.173 0.085 0.717
C 0.225 0.533 0.165
C 0.376 0.376 0.624
C 0.533 0.225 0.077
C 0.626 0.626 0.874
N 0.040 0.592 0.266
N 0.147 0.984 0.658
N 0.507 0.507 0.493
N 0.592 0.040 0.103
N 0.757 0.757 0.743
N 0.984 0.147 0.210



No. 6
A geometry-optimized K2BSbC structure, computed with PBE-GGA.

Summary:
Density of states at the Fermi level (states/eV/atom): 0.42
ρ (g cm⁻³): 2.29
Formation energy without anion corrections (eV per atom): 1.445

a = 6.201 Å, b = 6.201 Å, c = 4.192 Å
α = 90.00°, β = 90.00°, γ = 90.00°
Fractional positions:
K 0.000 0.500 0.000
K 0.500 0.000 0.000
B 0.000 0.000 0.000
Sb 0.000 0.000 0.500
C 0.500 0.500 0.500



No. 7
A geometry-optimized KSiB2C structure, computed with PBE-GGA.

Summary:
Density of states at the Fermi level (states/eV/atom): 0.44
ρ (g cm⁻³): 2.34
Formation energy without anion corrections (eV per atom): 2.097

a = 4.177 Å, b = 4.177 Å, c = 4.100 Å
α = 90.00°, β = 90.00°, γ = 90.00°
Fractional positions:
K 0.000 0.000 0.000
Si 0.500 0.500 0.000
B 0.000 0.500 0.500
B 0.500 0.000 0.500
C 0.500 0.500 0.500



No. 8
A geometry-optimized KSnBC2 structure, computed with PBE-GGA.

Summary:
ΔH_f (0 K) (meV per atom): 2852
Density of states at the Fermi level (states/eV/atom): 0.98
ρ (g cm⁻³): 2.66

a = 4.288 Å, b = 4.288 Å, c = 6.536 Å
α = 90.00°, β = 90.00°, γ = 90.00°
Fractional positions:
K 0.000 0.000 0.000
Sn 0.000 0.000 0.500
B 0.500 0.500 0.000
C 0.000 0.500 0.500
C 0.500 0.000 0.500